## Sr2UIO8 (PBE-GGA)

Data for a relaxed structure of Sr2UIO8.

Output
VASP energy: -6.75 eV per atom
ΔE_f (raw): -25.2 eV/f.u.
SG: P2/m, No. 10

Unit cell a=5.3249 b=6.9324 c=5.3300 alpha=90.00 beta=92.87 gamma=90.00
With the nearest neighbours (Å) after each atom.
Atoms (fractional coordinates):
Sr (0.0000, 0.2420, 0.0000)  6 O 2.43-2.56
Sr (0.0000, 0.7580, 0.0000)  6 O 2.43-2.56
U (0.5000, 0.5000, 0.5000)  2 O 1.94
I (0.5000, 0.0000, 0.5000)  6 O 1.91-2.08
O (0.2368, 0.5000, 0.2354)  1 U 1.94
O (0.2399, 0.0000, 0.2386)  1 I 1.91
O (0.3308, 0.2347, 0.6679)  1 I 2.08, 1 U 2.25
O (0.3308, 0.7653, 0.6679)  1 I 2.08, 1 U 2.25
O (0.6692, 0.2347, 0.3321)  1 I 2.08, 1 U 2.25
O (0.6692, 0.7653, 0.3321)  1 I 2.08, 1 U 2.25
O (0.7601, 0.0000, 0.7614)  1 I 1.91
O (0.7632, 0.5000, 0.7646)  1 U 1.94